Entry from Alexandria via LeMat-Bulk: a geometry-optimized V3CoGe structure (PBE).

Lattice parameters (Å, degrees): 5.926 5.926 5.926 90.45 110.80 129.57
Atoms (fractional coordinates):
V 0.199 0.001 0.200
V 0.199 0.499 0.698
V 0.719 0.559 0.660
V 0.801 0.501 0.302
V 0.801 0.999 0.800
V 0.899 0.059 0.340
Co 0.413 0.886 0.028
Co 0.858 0.386 0.972
Ge 0.270 0.061 0.709
Ge 0.352 0.561 0.291

Total magnetic moment = 0.00 Bohr magnetons per cell
Uncorrected energy = -7.6593 eV/atom
Offset from the most stable computed form = 0.0 meV/atom
Energy of formation = 0.16 eV per atom
Calculated density = 6.658 g cm⁻³